# AgGePt3, optimized geometry, DFT PBE
# DFT formation energy in eV/atom: 0.4390
# E above lowest polymorph in eV/f.u.: 2.84
# Calculated volume in Å³/cell: 100.6
# Crystal system: cubic
data_AgGePt3
_cell_length_a 4.651
_cell_length_b 4.651
_cell_length_c 4.651
_cell_angle_alpha 90.00
_cell_angle_beta 90.00
_cell_angle_gamma 90.00
_symmetry_space_group_name_H-M 'P m -3 m'
_symmetry_Int_Tables_number 221
_symmetry_space_group_name_Hall '-P 4 2 3'
loop_
_atom_site_label
_atom_site_fract_x
_atom_site_fract_y
_atom_site_fract_z
_atom_site_occupancy
Ag1 0.000 0.000 0.000 1
Ge1 0.500 0.500 0.500 1
Pt1 0.000 0.500 0.500 1



# PmSi3Tc5, optimized geometry, DFT PBE
# Calculated volume in Å³/cell: 603.9
# Raw formation energy in eV/atom: -0.35
# Crystal system: orthorhombic
data_PmSi3Tc5
_cell_length_a 4.108
_cell_length_b 12.735
_cell_length_c 11.542
_cell_angle_alpha 90.00
_cell_angle_beta 90.00
_cell_angle_gamma 90.00
_symmetry_space_group_name_H-M 'C m c m'
_symmetry_Int_Tables_number 63
_symmetry_space_group_name_Hall '-C 2c 2'
loop_
_atom_site_label
_atom_site_fract_x
_atom_site_fract_y
_atom_site_fract_z
_atom_site_occupancy
Pm1 0.000 0.169 0.250 1
Si1 0.000 0.131 0.750 1
Si2 0.000 0.383 0.564 1
Tc1 0.000 0.000 0.000 1
Tc2 0.000 0.195 0.546 1
Tc3 0.000 0.443 0.148 1



# LaH6PdPt2, optimized geometry, DFT PBE
# Energy in eV per atom: -4.595
# Calculated volume in Å³/cell: 306.6
# Crystal system: trigonal
data_LaH6PdPt2
_cell_length_a 4.8428
_cell_length_b 4.8428
_cell_length_c 15.0957
_cell_angle_alpha 90.00
_cell_angle_beta 90.00
_cell_angle_gamma 120.00
_symmetry_space_group_name_H-M 'R -3 m'
_symmetry_Int_Tables_number 166
_symmetry_space_group_name_Hall '-R 3 2"'
loop_
_atom_site_label
_atom_site_fract_x
_atom_site_fract_y
_atom_site_fract_z
_atom_site_occupancy
La1 0.0000 0.0000 0.0000 1
H1 0.0271 0.5135 0.0724 1
Pd1 0.0000 0.0000 0.5000 1
Pt1 0.0000 0.0000 0.2123 1



# HfBRh3, optimized geometry, DFT PBE
# DFT formation energy in eV/atom: -0.4369
# E above lowest polymorph in eV/f.u.: 1.74
# Calculated volume in Å³/cell: 579.0
# Crystal system: monoclinic
data_HfBRh3
_cell_length_a 12.328
_cell_length_b 8.124
_cell_length_c 6.034
_cell_angle_alpha 90.00
_cell_angle_beta 106.68
_cell_angle_gamma 90.00
_symmetry_space_group_name_H-M 'C 1 2/c 1'
_symmetry_Int_Tables_number 15
_symmetry_space_group_name_Hall '-C 2yc'
loop_
_atom_site_label
_atom_site_fract_x
_atom_site_fract_y
_atom_site_fract_z
_atom_site_occupancy
Hf1 0.000 0.105 0.250 1
Hf2 0.000 0.294 0.750 1
B1 0.049 0.407 0.153 1
Rh1 0.138 0.422 0.501 1
Rh2 0.160 0.090 0.667 1
Rh3 0.170 0.226 0.108 1



# TcNiPb, optimized geometry, DFT PBE
# DFT formation energy in eV/atom: 0.6036
# E above lowest polymorph in eV/f.u.: 0.16
# Calculated volume in Å³/cell: 52.5
# Crystal system: trigonal
data_TcNiPb
_cell_length_a 4.1792
_cell_length_b 4.1792
_cell_length_c 3.4707
_cell_angle_alpha 90.00
_cell_angle_beta 90.00
_cell_angle_gamma 120.00
_symmetry_space_group_name_H-M 'P 3 m 1'
_symmetry_Int_Tables_number 156
_symmetry_space_group_name_Hall 'P 3 -2"'
loop_
_atom_site_label
_atom_site_fract_x
_atom_site_fract_y
_atom_site_fract_z
_atom_site_occupancy
Tc1 0.0000 0.0000 0.0000 1
Ni1 0.6667 0.3333 0.0065 1
Pb1 0.3333 0.6667 0.5005 1



# CeTcP, optimized geometry, DFT PBE
# DFT formation energy in eV/atom: -0.6149
# E above lowest polymorph in eV/f.u.: 0.71
# Calculated volume in Å³/cell: 106.3
# Crystal system: tetragonal
data_CeTcP
_cell_length_a 3.125
_cell_length_b 3.125
_cell_length_c 10.881
_cell_angle_alpha 90.00
_cell_angle_beta 90.00
_cell_angle_gamma 90.00
_symmetry_space_group_name_H-M 'I 4 m m'
_symmetry_Int_Tables_number 107
_symmetry_space_group_name_Hall 'I 4 -2'
loop_
_atom_site_label
_atom_site_fract_x
_atom_site_fract_y
_atom_site_fract_z
_atom_site_occupancy
Ce1 0.000 0.000 0.000 1
Tc1 0.000 0.000 0.298 1
P1 0.000 0.000 0.702 1



# Ga4PdAu12, optimized geometry, DFT PBE
# DFT formation energy in eV/atom: 0.1577
# Calculated volume in Å³/cell: 706.3
# Crystal system: cubic
data_Ga4PdAu12
_cell_length_a 8.906
_cell_length_b 8.906
_cell_length_c 8.906
_cell_angle_alpha 90.00
_cell_angle_beta 90.00
_cell_angle_gamma 90.00
_symmetry_space_group_name_H-M 'I m -3'
_symmetry_Int_Tables_number 204
_symmetry_space_group_name_Hall '-I 2 2 3'
loop_
_atom_site_label
_atom_site_fract_x
_atom_site_fract_y
_atom_site_fract_z
_atom_site_occupancy
Ga1 0.250 0.250 0.250 1
Pd1 0.000 0.000 0.000 1
Au1 0.000 0.343 0.154 1



# ZnFeHg2, optimized geometry, DFT PBE
# DFT formation energy in eV/atom: 0.3468
# Calculated volume in Å³/cell: 70.8
# Crystal system: tetragonal
data_ZnFeHg2
_cell_length_a 4.232
_cell_length_b 4.232
_cell_length_c 3.951
_cell_angle_alpha 90.00
_cell_angle_beta 90.00
_cell_angle_gamma 90.00
_symmetry_space_group_name_H-M 'P 4/m m m'
_symmetry_Int_Tables_number 123
_symmetry_space_group_name_Hall '-P 4 2'
loop_
_atom_site_label
_atom_site_fract_x
_atom_site_fract_y
_atom_site_fract_z
_atom_site_occupancy
Zn1 0.000 0.000 0.000 1
Fe1 0.500 0.500 0.000 1
Hg1 0.000 0.500 0.500 1



calculated volume of number 8 (ZnFeHg2)? 70.8 Å³/cell